Entry 1:
The following is a DFT calculation (GGA-PBE) of a relaxed structure of PaTiMoIr.

Results
**E_tot**: -9.637 eV per atom
**DOS(E_F)**: 0.98 states/eV per atom

Cell: 6.6212 6.6212 6.6212 Å, 90.00 90.00 90.00°
Space group F-43m (No. 216)
Symmetry-distinct sites (fractional):
Pa 0.0000 0.0000 0.0000
Ti 0.0000 0.0000 0.5000
Mo 0.2500 0.2500 0.7500
Ir 0.2500 0.2500 0.2500

Entry 2:
The following is a DFT calculation (GGA-PBE) of a relaxed structure of MoIr2Pb.

Results
**E_tot**: -7.677 eV per atom
**DOS(E_F)**: 0.84 states/eV per atom

Cell: 9.4190 2.9357 4.9796 Å, 90.00 97.71 90.00°
Space group C2/m (No. 12)
Symmetry-distinct sites (fractional):
Mo 0.0000 0.0000 0.0000
Ir 0.2422 0.5000 0.2247
Pb 0.0000 0.5000 0.5000

Entry 3:
The following is a DFT calculation (GGA-PBE) of a relaxed structure of MoIr2Pb.

Results
**E_tot**: -7.660 eV per atom
**DOS(E_F)**: 0.83 states/eV per atom

Cell: 5.7852 7.9094 2.9524 Å, 90.00 90.00 90.00°
Space group Cmmm (No. 65)
Symmetry-distinct sites (fractional):
Mo 0.0000 0.0000 0.0000
Ir 0.2500 0.2500 0.5000
Pb 0.0000 0.5000 0.0000

Entry 4:
The following is a DFT calculation (GGA-PBE) of a relaxed structure of Mo2IrPb.

Results
**E_tot**: -8.130 eV per atom
**DOS(E_F)**: 1.08 states/eV per atom

Cell: 4.0982 4.1646 8.4196 Å, 90.00 90.00 90.00°
Space group Cmm2 (No. 35)
Symmetry-distinct sites (fractional):
Mo 0.0000 0.0000 0.0000
Mo 0.0000 0.5000 0.2432
Ir 0.0000 0.0000 0.4420
Pb 0.0000 0.5000 0.7215

Entry 5:
The following is a DFT calculation (GGA-PBE) of a relaxed structure of MoIr3Pb.

Results
**E_tot**: -6.933 eV per atom
**DOS(E_F)**: 1.15 states/eV per atom

Cell: 4.7966 4.7966 4.7966 Å, 90.00 90.00 90.00°
Space group Pm-3m (No. 221)
Symmetry-distinct sites (fractional):
Mo 0.0000 0.0000 0.0000
Ir 0.0000 0.0000 0.5000
Pb 0.5000 0.5000 0.5000

Entry 6:
The following is a DFT calculation (GGA-PBE) of a relaxed structure of Mo2IrPb.

Results
**E_tot**: -8.040 eV per atom
**DOS(E_F)**: 0.93 states/eV per atom

Cell: 2.9323 2.9323 28.5383 Å, 90.00 90.00 120.00°
Space group R-3m (No. 166, hexagonal axes)
Symmetry-distinct sites (fractional):
Mo 0.0000 0.0000 0.2425
Ir 0.0000 0.0000 0.5000
Pb 0.0000 0.0000 0.0000

Q: The highest E_tot belongs to which entry?
A: MoIr3Pb

Q: Which of these has the lowest E_tot?
A: PaTiMoIr

Q: DOS(E_F) of number 5 (MoIr3Pb)?
A: 1.15 states/eV per atom

Q: What is the formula in the third record?
A: MoIr2Pb